Computed, not measured: a geometry-optimized ZnGaOsPt2 structure at the GGA-PBE level of DFT.

Calculated values
Size of the total moment (μB/f.u.): 0.8
E_tot (eV/atom): -4.53
ΔE_f (eV/atom): 0.99

Lattice parameters (Å, degrees): 4.5754 4.5754 4.5994 90.00 90.00 90.00
Space group P4/mmm (No. 123)
One atom of each set of equivalent atoms:
Zn 0.0000 0.0000 0.0000 (multiplicity 1)
Ga 0.5000 0.5000 0.5000 (multiplicity 1)
Os 0.5000 0.5000 0.0000 (multiplicity 1)
Pt 0.0000 0.5000 0.5000 (multiplicity 2)

Computed, not measured: a geometry-optimized Pu2Ga8Os structure at the GGA-PBE level of DFT.

Calculated values
Size of the total moment (μB/f.u.): 10.6
E_tot (eV/atom): -6.17
ΔE_f (eV/atom): -0.34

Lattice parameters (Å, degrees): 4.3382 4.3382 11.1075 90.00 90.00 90.00
Space group P4/mmm (No. 123)
One atom of each set of equivalent atoms:
Pu 0.0000 0.0000 0.1926 (multiplicity 2)
Ga 0.0000 0.5000 0.0000 (multiplicity 2)
Ga 0.0000 0.5000 0.3771 (multiplicity 4)
Ga 0.5000 0.5000 0.1927 (multiplicity 2)
Os 0.0000 0.0000 0.5000 (multiplicity 1)

Computed, not measured: a geometry-optimized Pu3Ga3Os structure at the GGA-PBE level of DFT.

Calculated values
Size of the total moment (μB/f.u.): 16.1
E_tot (eV/atom): -9.27
ΔE_f (eV/atom): -0.22

Lattice parameters (Å, degrees): 3.3324 11.5930 15.1454 90.00 90.00 90.00
Space group Cmcm (No. 63)
One atom of each set of equivalent atoms:
Pu 0.0000 0.0090 0.2500 (multiplicity 4)
Pu 0.0000 0.3304 0.5905 (multiplicity 8)
Ga 0.0000 0.2734 0.2500 (multiplicity 4)
Ga 0.0000 0.3963 0.1043 (multiplicity 8)
Os 0.0000 0.0000 0.0000 (multiplicity 4)

Computed, not measured: a geometry-optimized PuGaOs structure at the GGA-PBE level of DFT.

Calculated values
Size of the total moment (μB/f.u.): 4.8
E_tot (eV/atom): -9.76
ΔE_f (eV/atom): -0.23

Lattice parameters (Å, degrees): 5.4558 5.5763 7.1840 90.00 90.00 90.00
Space group Imma (No. 74)
One atom of each set of equivalent atoms:
Pu 0.0000 0.2500 0.1433 (multiplicity 4)
Ga 0.2500 0.2500 0.7500 (multiplicity 4)
Os 0.0000 0.0000 0.5000 (multiplicity 4)

Computed, not measured: a geometry-optimized PuGaOs structure at the GGA-PBE level of DFT.

Calculated values
Size of the total moment (μB/f.u.): 4.7
E_tot (eV/atom): -9.62
ΔE_f (eV/atom): -0.09

Lattice parameters (Å, degrees): 4.4297 4.4297 3.3824 90.00 90.00 120.00
Space group P-6m2 (No. 187)
One atom of each set of equivalent atoms:
Pu 0.0000 0.0000 0.0000 (multiplicity 1)
Ga 0.3333 0.6667 0.5000 (multiplicity 1)
Os 0.6667 0.3333 0.5000 (multiplicity 1)

Computed, not measured: a geometry-optimized Pu4Ga12Os structure at the GGA-PBE level of DFT.

Calculated values
Size of the total moment (μB/f.u.): 21.6
E_tot (eV/atom): -6.56
ΔE_f (eV/atom): -0.39

Lattice parameters (Å, degrees): 8.6449 8.6449 8.6449 90.00 90.00 90.00
Space group Im-3m (No. 229)
One atom of each set of equivalent atoms:
Pu 0.2500 0.2500 0.2500 (multiplicity 8)
Ga 0.0000 0.0000 0.2894 (multiplicity 12)
Ga 0.0000 0.2500 0.5000 (multiplicity 12)
Os 0.0000 0.0000 0.0000 (multiplicity 2)

Computed, not measured: a geometry-optimized Pu2Ga5Os structure at the GGA-PBE level of DFT.

Calculated values
Size of the total moment (μB/f.u.): 9.9
E_tot (eV/atom): -7.07
ΔE_f (eV/atom): -0.20

Lattice parameters (Å, degrees): 5.8150 5.8150 8.8316 90.00 90.00 90.00
Space group I4/mmm (No. 139)
One atom of each set of equivalent atoms:
Pu 0.0000 0.5000 0.0000 (multiplicity 4)
Ga 0.0000 0.0000 0.0000 (multiplicity 2)
Ga 0.2500 0.2500 0.2500 (multiplicity 8)
Os 0.0000 0.0000 0.5000 (multiplicity 2)

Computed, not measured: a geometry-optimized Pu2Ga6Os structure at the GGA-PBE level of DFT.

Calculated values
Size of the total moment (μB/f.u.): 10.8
E above lowest polymorph (eV/f.u.): 0.00
E_tot (eV/atom): -6.79
ΔE_f (eV/atom): -0.34

Lattice parameters (Å, degrees): 8.8037 8.8037 8.8037 90.00 90.00 90.00
Space group Fm-3m (No. 225)
One atom of each set of equivalent atoms:
Pu 0.2500 0.2500 0.2500 (multiplicity 8)
Ga 0.0000 0.0000 0.2170 (multiplicity 24)
Os 0.0000 0.0000 0.5000 (multiplicity 4)

Computed, not measured: a geometry-optimized Pu2GaOs3 structure at the GGA-PBE level of DFT.

Calculated values
Size of the total moment (μB/f.u.): 9.3
E_tot (eV/atom): -11.04
ΔE_f (eV/atom): -0.14

Lattice parameters (Å, degrees): 5.4410 5.4410 12.6199 90.00 90.00 120.00
Space group R-3m (No. 166, hexagonal axes)
One atom of each set of equivalent atoms:
Pu 0.0000 0.0000 0.1221 (multiplicity 6)
Ga 0.0000 0.0000 0.5000 (multiplicity 3)
Os 0.0000 0.5000 0.0000 (multiplicity 9)

Computed, not measured: a geometry-optimized PuGaOs structure at the GGA-PBE level of DFT.

Calculated values
Size of the total moment (μB/f.u.): 4.9
E_tot (eV/atom): -9.64
ΔE_f (eV/atom): -0.11

Lattice parameters (Å, degrees): 3.1622 3.1622 11.0916 90.00 90.00 90.00
Space group I4mm (No. 107)
One atom of each set of equivalent atoms:
Pu 0.0000 0.0000 0.0000 (multiplicity 2)
Ga 0.0000 0.0000 0.7070 (multiplicity 2)
Os 0.0000 0.0000 0.3275 (multiplicity 2)

Computed, not measured: a geometry-optimized Pu2Ga6Os structure at the GGA-PBE level of DFT.

Calculated values
Size of the total moment (μB/f.u.): 11.1
E above lowest polymorph (eV/f.u.): 0.15
E_tot (eV/atom): -6.78
ΔE_f (eV/atom): -0.33

Lattice parameters (Å, degrees): 5.9445 5.9445 5.5425 90.00 90.00 120.00
Space group P-3m1 (No. 164)
One atom of each set of equivalent atoms:
Pu 0.3333 0.6667 0.3121 (multiplicity 2)
Ga 0.1761 0.3522 0.8146 (multiplicity 6)
Os 0.0000 0.0000 0.5000 (multiplicity 1)

Computed, not measured: a geometry-optimized Pu4GaOs structure at the GGA-PBE level of DFT.

Calculated values
Size of the total moment (μB/f.u.): 22.7
E_tot (eV/atom): -11.94
ΔE_f (eV/atom): -0.01

Lattice parameters (Å, degrees): 6.9603 6.9603 5.9898 90.00 90.00 90.00
Space group P4/mcc (No. 124)
One atom of each set of equivalent atoms:
Pu 0.1500 0.3261 0.0000 (multiplicity 8)
Ga 0.5000 0.5000 0.2500 (multiplicity 2)
Os 0.0000 0.0000 0.2500 (multiplicity 2)

Q: The lowest E_tot belongs to which entry?
A: Pu4GaOs